[1]
This record from the Alexandria database describes crystalline Ti4Nb2Si at its relaxed geometry. The functional is PBE-GGA.

Its density of states at the Fermi level is 18.85 states/eV per cell. As for the magnetization: 1.40 μB/cell.

a b c (Å): 4.6247 4.6247 12.8270
angles (deg): 90.00 90.00 90.00
Last column: nearest neighbours and their distance in Å.
Space group I4/mmm (No. 139)
Inequivalent atoms, fractional coordinates:
Ti  0.0000  0.0000  0.1902 (multiplicity 4)  1 Si 2.44, 1 Nb 2.52
Ti  0.0000  0.5000  0.0000 (multiplicity 4)  2 Si 2.31
Nb  0.0000  0.0000  0.3869 (multiplicity 4)  5 Ti 2.52-2.73
Si  0.0000  0.0000  0.0000 (multiplicity 2)  6 Ti 2.31-2.44

=====

[2]
This record from the Alexandria database describes crystalline Ti3Nb2Si4 at its relaxed geometry. The functional is PBE-GGA.

Its density of states at the Fermi level is 4.00 states/eV per cell. As for the magnetization: 0.00 μB/cell.

a b c (Å): 6.6946 6.6807 6.4982
angles (deg): 90.00 109.24 90.00
Last column: nearest neighbours and their distance in Å.
Space group P2_1/c (No. 14)
Inequivalent atoms, fractional coordinates:
Ti  0.0000  0.0000  0.0000 (multiplicity 2)  6 Si 2.56-2.70
Ti  0.2501  0.1777  0.7554 (multiplicity 4)  6 Si 2.47-2.62
Nb  0.3118  0.6715  0.9435 (multiplicity 4)  7 Si 2.66-2.87
Si  0.0124  0.6272  0.1321 (multiplicity 4)  1 Si 2.38, 5 Ti 2.48-2.63
Si  0.4255  0.0341  0.1489 (multiplicity 4)  4 Ti 2.47-2.70, 1 Si 2.49, 2 Nb 2.66-2.75

=====

[3]
This record from the Alexandria database describes crystalline TiNbSi at its relaxed geometry. The functional is PBE-GGA.

Its density of states at the Fermi level is 5.49 states/eV per cell. As for the magnetization: 0.00 μB/cell.

a b c (Å): 3.3629 3.3629 8.4890
angles (deg): 90.00 90.00 90.00
Last column: nearest neighbours and their distance in Å.
Space group I4mm (No. 107)
Inequivalent atoms, fractional coordinates:
Ti  0.0000  0.0000  0.0000 (multiplicity 2)  5 Nb 2.73-2.82, 5 Si 2.74-2.88
Nb  0.0000  0.0000  0.3215 (multiplicity 2)  5 Ti 2.73-2.82, 5 Si 2.74-2.88
Si  0.0000  0.0000  0.6606 (multiplicity 2)  5 Ti 2.74-2.88, 5 Nb 2.74-2.88

=====

[4]
This record from the Alexandria database describes crystalline TiNbSi at its relaxed geometry. The functional is PBE-GGA.

Its density of states at the Fermi level is 4.50 states/eV per cell. As for the magnetization: 0.49 μB/cell.

a b c (Å): 4.4687 4.4687 2.7918
angles (deg): 90.00 90.00 120.00
Last column: nearest neighbours and their distance in Å.
Space group P3m1 (No. 156)
Inequivalent atoms, fractional coordinates:
Ti  0.0000  0.0000  0.0000 (multiplicity 1)  3 Si 2.74, 3 Nb 2.77, 2 Ti 2.79
Nb  0.6667  0.3333  0.6403 (multiplicity 1)  3 Si 2.72, 3 Ti 2.77, 2 Nb 2.79
Si  0.3333  0.6667  0.3286 (multiplicity 1)  3 Nb 2.72, 3 Ti 2.74, 2 Si 2.79

=====

[5]
This record from the Alexandria database describes crystalline Ti2NbSi6 at its relaxed geometry. The functional is PBE-GGA.

Its density of states at the Fermi level is 7.24 states/eV per cell. As for the magnetization: 0.00 μB/cell.

a b c (Å): 4.7640 8.2278 6.5974
angles (deg): 90.00 90.00 90.00
Last column: nearest neighbours and their distance in Å.
Space group C222 (No. 21)
Inequivalent atoms, fractional coordinates:
Ti  0.2500  0.2500  0.1673 (multiplicity 4)  10 Si 2.59-2.81
Nb  0.0000  0.0000  0.5000 (multiplicity 2)  10 Si 2.63-2.77
Si  0.0000  0.3361  0.5000 (multiplicity 4)  5 Si 2.58-2.77, 2 Ti 2.60, 3 Nb 2.74-2.77
Si  0.2378  0.4189  0.8362 (multiplicity 8)  5 Si 2.54-2.83, 4 Ti 2.59-2.81, 1 Nb 2.63

=====

[6]
This record from the Alexandria database describes crystalline TiNbSi3 at its relaxed geometry. The functional is PBE-GGA.

Its density of states at the Fermi level is 5.78 states/eV per cell. As for the magnetization: 0.00 μB/cell.

a b c (Å): 4.5465 4.5465 4.5465
angles (deg): 90.00 90.00 90.00
Last column: nearest neighbours and their distance in Å.
Space group Pm-3m (No. 221)
Inequivalent atoms, fractional coordinates:
Ti  0.0000  0.0000  0.0000 (multiplicity 1)  6 Si 2.27
Nb  0.5000  0.5000  0.5000 (multiplicity 1)  12 Si 3.21
Si  0.0000  0.0000  0.5000 (multiplicity 3)  2 Ti 2.27

=====

Raw formation energy values (in eV per atom) by entry order: 0.612, -0.787, -0.453, -0.183, -0.558, 0.883.